# Pu2AsP PBE relaxed
data_Pu2AsP
_space_group_name_H-M_alt 'P 1'
_space_group_IT_number 1
_cell_length_a 4.002
_cell_length_b 4.002
_cell_length_c 7.341
_cell_angle_alpha 74.18
_cell_angle_beta 74.18
_cell_angle_gamma 60.00
loop_
_space_group_symop_operation_xyz
'x,y,z'
loop_
_atom_site_label
_atom_site_type_symbol
_atom_site_fract_x
_atom_site_fract_y
_atom_site_fract_z
Pu1 Pu 0.085 0.085 0.745
Pu2 Pu 0.248 0.248 0.256
As1 As 0.669 0.669 0.993
P1 P 0.498 0.498 0.507
# Total magnetization ... 10.00 Bohr magnetons per cell
# Space-group type ... No. 160
# DFT total energy ... -42.5 eV per formula unit
# Formation enthalpy at 0 K ... -939.1 meV per atom